# 1
# Y3HoEr6 (PBE, relaxed)
# DOS at the Fermi energy (states/eV/cell): 24.4
# ΔE to the lowest computed polymorph (eV per atom): 0.0000
data_Y3HoEr6
_chemical_formula_sum 'Y6 Ho2 Er12'
_symmetry_space_group_name_H-M 'P 1'
_symmetry_Int_Tables_number 1
_cell_length_a 8.8412
_cell_length_b 8.9826
_cell_length_c 8.9826
_cell_angle_alpha 117.58
_cell_angle_beta 90.00
_cell_angle_gamma 90.00
loop_
_symmetry_equiv_pos_as_xyz
'x,y,z'
loop_
_atom_site_label
_atom_site_fract_x
_atom_site_fract_y
_atom_site_fract_z
_atom_site_occupancy
Y1 0.4236 0.9727 0.6765 1
Y2 0.9236 0.6765 0.9727 1
Y3 0.4118 0.5497 0.4503 1
Y4 0.9118 0.4503 0.5497 1
Y5 0.9236 0.0273 0.3235 1
Y6 0.4236 0.3235 0.0273 1
Ho1 0.0319 0.2206 0.7794 1
Ho2 0.5319 0.7794 0.2206 1
Er1 0.0982 0.8124 0.6979 1
Er2 0.5982 0.6979 0.8124 1
Er3 0.2740 0.5296 0.8237 1
Er4 0.7740 0.8237 0.5296 1
Er5 0.2866 0.9462 0.0538 1
Er6 0.6635 0.2832 0.7168 1
Er7 0.1635 0.7168 0.2832 1
Er8 0.7866 0.0538 0.9462 1
Er9 0.2740 0.1763 0.4704 1
Er10 0.7740 0.4704 0.1763 1
Er11 0.0982 0.3021 0.1876 1
Er12 0.5982 0.1876 0.3021 1

# 2
# Ca4GaAgHg2 (PBE, relaxed)
# DOS at the Fermi energy (states/eV/cell): 5.4
data_Ca4GaAgHg2
_chemical_formula_sum 'Ca4 Ga1 Ag1 Hg2'
_symmetry_space_group_name_H-M 'P 1'
_symmetry_Int_Tables_number 1
_cell_length_a 5.2818
_cell_length_b 5.2818
_cell_length_c 9.2339
_cell_angle_alpha 73.38
_cell_angle_beta 73.38
_cell_angle_gamma 60.00
loop_
_symmetry_equiv_pos_as_xyz
'x,y,z'
loop_
_atom_site_label
_atom_site_fract_x
_atom_site_fract_y
_atom_site_fract_z
_atom_site_occupancy
Ca1 0.3759 0.3759 0.8722 1
Ca2 0.8740 0.8740 0.3779 1
Ca3 0.1260 0.1260 0.6221 1
Ca4 0.6241 0.6241 0.1278 1
Ga1 0.5000 0.5000 0.5000 1
Ag1 0.0000 0.0000 0.0000 1
Hg1 0.7501 0.7501 0.7498 1
Hg2 0.2499 0.2499 0.2502 1

# 3
# NaMgNb (PBE, relaxed)
# DOS at the Fermi energy (states/eV/cell): 9.2
# ΔE to the lowest computed polymorph (eV per atom): 0.9209
data_NaMgNb
_chemical_formula_sum 'Na4 Mg4 Nb4'
_symmetry_space_group_name_H-M 'P 1'
_symmetry_Int_Tables_number 1
_cell_length_a 8.4989
_cell_length_b 6.0467
_cell_length_c 4.9119
_cell_angle_alpha 90.00
_cell_angle_beta 90.00
_cell_angle_gamma 90.00
loop_
_symmetry_equiv_pos_as_xyz
'x,y,z'
loop_
_atom_site_label
_atom_site_fract_x
_atom_site_fract_y
_atom_site_fract_z
_atom_site_occupancy
Na1 0.6672 0.2500 0.0004 1
Na2 0.8328 0.7500 0.5004 1
Na3 0.3328 0.7500 0.9996 1
Na4 0.1672 0.2500 0.4996 1
Nb1 0.3338 0.2500 0.9996 1
Nb2 0.1662 0.7500 0.4996 1
Nb3 0.6662 0.7500 0.0004 1
Nb4 0.8338 0.2500 0.5004 1
Mg1 0.0000 0.0000 0.0000 1
Mg2 0.5000 0.5000 0.5000 1
Mg3 0.5000 0.0000 0.5000 1
Mg4 0.0000 0.5000 0.0000 1

# 4
# PrHg2Au (PBE, relaxed)
# DOS at the Fermi energy (states/eV/cell): 3.5
data_PrHg2Au
_chemical_formula_sum 'Pr1 Hg2 Au1'
_symmetry_space_group_name_H-M 'P 1'
_symmetry_Int_Tables_number 1
_cell_length_a 3.7911
_cell_length_b 3.7911
_cell_length_c 6.8461
_cell_angle_alpha 90.00
_cell_angle_beta 90.00
_cell_angle_gamma 90.00
loop_
_symmetry_equiv_pos_as_xyz
'x,y,z'
loop_
_atom_site_label
_atom_site_fract_x
_atom_site_fract_y
_atom_site_fract_z
_atom_site_occupancy
Pr1 0.5000 0.5000 0.5000 1
Au1 0.5000 0.5000 0.0000 1
Hg1 0.0000 0.0000 0.7782 1
Hg2 0.0000 0.0000 0.2218 1

no.,size of the total moment (μB per atom),energy (eV/f.u.)
1,0.00,-50.0
2,0.00,-18.2
3,0.00,-9.7
4,0.06,-9.9